# 1
Here is an optimized crystal structure of TcAgMo2 from Alexandria. Energies are from GGA-PBEsol.

```
data_TcAgMo2
_chemical_formula_sum 'Tc1 Ag1 Mo2'
_space_group_name_H-M_alt 'P 4 m m'
_space_group_IT_number 99
_space_group_name_Hall 'P 4 -2'
_cell_length_a 3.254
_cell_length_b 3.254
_cell_length_c 5.837
_cell_angle_alpha 90.00
_cell_angle_beta 90.00
_cell_angle_gamma 90.00
loop_
_atom_site_label
_atom_site_fract_x
_atom_site_fract_y
_atom_site_fract_z
Tc1 0.000 0.000 0.000
Ag1 0.500 0.500 0.277
Mo1 0.000 0.000 0.553
Mo2 0.500 0.500 0.784
```

Results
N(E_F), states/eV/f.u.: 2.86
Volume, Å³ per cell: 62
E above lowest polymorph, meV/atom: 0.0
Calculated density, Mg/m³: 10.69

***

# 2
Here is an optimized crystal structure of Cu3H2C2O8 from Alexandria. Energies are from GGA-PBEsol.

```
data_Cu3H2C2O8
_chemical_formula_sum 'Cu6 H4 C4 O16'
_space_group_name_H-M_alt 'P 1 21/c 1'
_space_group_IT_number 14
_space_group_name_Hall '-P 2ybc'
_cell_length_a 4.877
_cell_length_b 5.857
_cell_length_c 10.386
_cell_angle_alpha 90.00
_cell_angle_beta 90.41
_cell_angle_gamma 90.00
loop_
_atom_site_label
_atom_site_fract_x
_atom_site_fract_y
_atom_site_fract_z
Cu1 0.000 0.000 0.000
Cu2 0.248 0.001 0.583
H1 0.205 0.702 0.872
C1 0.337 0.194 0.815
O1 0.077 0.690 0.947
O2 0.106 0.089 0.829
O3 0.442 0.203 0.701
O4 0.456 0.215 0.413
```

Results
N(E_F), states/eV/f.u.: 2.82
Volume, Å³ per cell: 297
Final energy, eV/atom: -6.349
Calculated density, Mg/m³: 3.86